No. 1
First-principles (PBE) data for a geometry-optimized Ba6Na2Zn structure, as listed in Alexandria.

a = 7.856 Å, b = 10.302 Å, c = 12.106 Å
α = 90.00°, β = 88.31°, γ = 90.00°
Fractional positions:
Ba1 0.631 0.175 0.552
Ba2 0.369 0.825 0.448
Ba3 0.117 0.028 0.762
Ba4 0.131 0.325 0.052
Ba5 0.617 0.472 0.262
Ba6 0.378 0.810 0.052
Ba7 0.622 0.190 0.948
Ba8 0.869 0.675 0.948
Ba9 0.878 0.690 0.552
Ba10 0.122 0.310 0.448
Ba11 0.383 0.528 0.738
Ba12 0.883 0.972 0.238
Na1 0.594 0.886 0.755
Na2 0.906 0.386 0.745
Na3 0.094 0.614 0.255
Na4 0.406 0.114 0.245
Zn1 0.500 0.500 0.000
Zn2 0.000 0.000 0.500

- calculated total energy (eV per formula unit) = -15.32

No. 2
First-principles (PBE) data for a geometry-optimized Ba7Na2Zn2 structure, as listed in Alexandria.

a = 8.423 Å, b = 8.608 Å, c = 8.423 Å
α = 89.99°, β = 107.53°, γ = 90.01°
Fractional positions:
Ba1 0.500 0.769 0.500
Ba2 0.000 0.000 0.000
Ba3 0.000 0.754 0.500
Ba4 0.500 0.754 0.000
Ba5 0.000 0.246 0.500
Ba6 0.500 0.246 0.000
Ba7 0.500 0.231 0.500
Zn1 0.291 0.000 0.709
Zn2 0.709 0.000 0.291
Na1 0.164 0.500 0.164
Na2 0.836 0.500 0.836

- calculated total energy (eV per formula unit) = -18.45

No. 3
First-principles (PBE) data for a geometry-optimized BaNaZn2 structure, as listed in Alexandria.

a = 3.976 Å, b = 5.552 Å, c = 5.552 Å
α = 90.00°, β = 90.00°, γ = 90.00°
Fractional positions:
Zn1 0.000 0.500 0.000
Zn2 0.000 0.000 0.500
Ba1 0.500 0.500 0.500
Na1 0.500 0.000 0.000

- calculated total energy (eV per formula unit) = -5.63

No. 4
First-principles (PBE) data for a geometry-optimized Ba3NaZn structure, as listed in Alexandria.

a = 8.495 Å, b = 11.085 Å, c = 11.085 Å
α = 75.50°, β = 90.00°, γ = 90.00°
Fractional positions:
Zn1 0.388 0.798 0.702
Zn2 0.888 0.702 0.798
Zn3 0.612 0.202 0.298
Zn4 0.112 0.298 0.202
Ba1 0.610 0.552 0.672
Ba2 0.110 0.672 0.552
Ba3 0.610 0.828 0.948
Ba4 0.390 0.172 0.052
Ba5 0.890 0.052 0.172
Ba6 0.110 0.948 0.828
Ba7 0.721 0.944 0.556
Ba8 0.779 0.444 0.056
Ba9 0.890 0.328 0.448
Ba10 0.390 0.448 0.328
Ba11 0.279 0.056 0.444
Ba12 0.221 0.556 0.944
Na1 0.250 0.305 0.695
Na2 0.250 0.805 0.195
Na3 0.750 0.195 0.805
Na4 0.750 0.695 0.305

- E above lowest polymorph (meV/atom) = 28